First-principles (PBE) data for a relaxed CaPmGeRh crystal, as listed in Alexandria.

Unit cell a=7.1152 b=7.1152 c=7.1152 alpha=90.00 beta=90.00 gamma=90.00
Space group F-43m (No. 216)
Symmetry-distinct sites (fractional):
Ca: 0.0000 0.0000 0.0000
Pm: 0.0000 0.0000 0.5000
Ge: 0.2500 0.2500 0.2500
Rh: 0.2500 0.2500 0.7500

Output
E	-0.3838	Ry/atom